# 1
A plane-wave DFT calculation with GGA-PBE was carried out for Ca3AcPt after structural relaxation.

```
Ca3AcPt
1.0
6.610 -2.058 0.000
6.610 2.058 0.000
-5.945 0.000 12.929
Ca Ac Pt
6 2 2
Direct
0.000 0.000 0.000
0.000 0.000 0.388
0.336 0.336 0.780
0.352 0.352 0.137
0.547 0.547 0.632
0.658 0.658 0.898
0.681 0.681 0.253
0.791 0.791 0.541
0.341 0.341 0.407
0.989 0.989 0.765
```

Space-group type: Cm
E above lowest polymorph: 0 meV/atom
Crystal system: monoclinic
Total energy: -3.70 eV/atom

---

# 2
A plane-wave DFT calculation with GGA-PBE was carried out for K3CrBi after structural relaxation.

```
K3CrBi
1.0
6.832 0.000 0.000
0.000 6.832 0.000
0.000 0.000 6.832
K Cr Bi
3 1 1
Direct
0.000 0.000 0.500
0.000 0.500 0.000
0.500 0.000 0.000
0.500 0.500 0.500
0.000 0.000 0.000
```

Space-group type: Pm-3m
E above lowest polymorph: 0 meV/atom
Crystal system: cubic
Total energy: -2.84 eV/atom

---

The records above give, respectively, energy relative to the elements values of -0.4722; 0.5194 eV/atom.
The records above give, respectively, DOS(E_F) values of 0.85; 0.65 states/eV per atom.